Zr2InWCl | Alexandria | PBE | optimized geometry; E = -31.14 eV/cell; energy relative to the elements, uncorrected = 0.699 eV per atom; symmetry = P4/mmm (123); size of the total moment = 0.000 μB per formula unit
1.0
5.292 0.000 0.000
0.000 4.517 0.000
0.000 0.000 5.292
Cl Zr W In
1 2 1 1
direct
0.000 0.500 0.000 Cl
0.000 0.000 0.500 Zr
0.500 0.000 0.000 Zr
0.000 0.000 0.000 W
0.500 0.500 0.500 In

=====

YInCl4 | Alexandria | PBE | optimized geometry; E = -54.69 eV/cell; energy relative to the elements, uncorrected = -1.793 eV per atom; symmetry = C2/c (15); size of the total moment = 0.000 μB per formula unit; E above lowest polymorph = 0 meV per atom
1.0
6.269 0.004 -2.261
-0.536 7.210 -1.471
-0.355 -0.224 8.829
Y In Cl
2 2 8
direct
0.500 0.000 0.500 Y
0.000 0.500 0.500 Y
0.741 0.750 0.000 In
0.259 0.250 0.000 In
0.495 0.040 0.800 Cl
0.696 0.460 0.200 Cl
0.505 0.960 0.200 Cl
0.304 0.540 0.800 Cl
0.864 0.827 0.612 Cl
0.251 0.673 0.388 Cl
0.136 0.173 0.388 Cl
0.749 0.327 0.612 Cl

=====

YInCl6 | Alexandria | PBE | optimized geometry; E = -33.34 eV/cell; energy relative to the elements, uncorrected = -1.633 eV per atom; symmetry = C2/m (12); size of the total moment = 0.000 μB per formula unit
1.0
7.009 -0.834 -0.190
-3.381 6.196 -0.190
-0.856 -1.265 6.297
Y In Cl
1 1 6
direct
0.000 0.000 0.000 Y
0.500 0.500 0.500 In
0.251 0.251 0.747 Cl
0.404 0.122 0.261 Cl
0.749 0.749 0.253 Cl
0.878 0.596 0.739 Cl
0.596 0.878 0.739 Cl
0.122 0.404 0.261 Cl

=====

Y2InCl | Alexandria | PBE | optimized geometry; E = -20.43 eV/cell; energy relative to the elements, uncorrected = -0.730 eV per atom; symmetry = Imm2 (44); size of the total moment = 0.000 μB per formula unit; E above lowest polymorph = 210 meV per atom
1.0
6.866 0.007 -0.004
5.963 3.403 -0.004
1.782 0.474 4.587
Cl In Y
1 1 2
direct
0.463 0.463 0.537 Cl
0.220 0.220 0.280 In
0.034 0.034 0.966 Y
0.783 0.783 0.717 Y

=====

YInCl3 | Alexandria | PBE | optimized geometry; E = -21.91 eV/cell; energy relative to the elements, uncorrected = -1.434 eV per atom; symmetry = Pm-3m (221); size of the total moment = 0.707 μB per formula unit; E above lowest polymorph = 0 meV per atom
1.0
-3.139 3.427 2.651
1.195 -2.462 4.597
4.164 3.289 0.679
Y Cl In
1 3 1
direct
0.000 0.000 0.000 Y
0.000 0.500 0.000 Cl
0.000 0.000 0.500 Cl
0.500 0.000 0.000 Cl
0.500 0.500 0.500 In

=====

Y2InCl | Alexandria | PBE | optimized geometry; E = -20.20 eV/cell; energy relative to the elements, uncorrected = -0.672 eV per atom; symmetry = P4mm (99); size of the total moment = 0.000 μB per formula unit; E above lowest polymorph = 268 meV per atom
1.0
-3.314 -1.004 0.583
-0.382 -0.721 -3.416
3.164 -9.489 1.650
Cl In Y
1 1 2
direct
0.000 0.000 0.420 Cl
0.500 0.500 0.806 In
0.000 0.000 0.006 Y
0.500 0.500 0.268 Y

=====

Y2InCl | Alexandria | PBE | optimized geometry; E = -21.27 eV/cell; energy relative to the elements, uncorrected = -0.940 eV per atom; symmetry = P4/mmm (123); size of the total moment = 0.000 μB per formula unit; E above lowest polymorph = 0 meV per atom
1.0
5.412 0.000 0.000
0.000 3.729 -0.001
0.000 0.001 5.413
Cl In Y
1 1 2
direct
0.000 0.250 0.375 Cl
0.500 0.750 0.875 In
0.000 0.250 0.875 Y
0.500 0.250 0.375 Y

=====

Y2InCl8 | Alexandria | PBE | optimized geometry; E = -50.55 eV/cell; energy relative to the elements, uncorrected = -1.828 eV per atom; symmetry = C2/m (12); size of the total moment = 0.000 μB per formula unit
1.0
-0.511 6.799 1.399
-4.495 -0.140 5.320
4.107 0.448 5.608
Y In Cl
2 1 8
direct
0.451 0.318 0.318 Y
0.549 0.682 0.682 Y
0.000 0.000 0.000 In
0.318 0.668 0.050 Cl
0.682 0.950 0.332 Cl
0.169 0.194 0.194 Cl
0.831 0.806 0.806 Cl
0.318 0.050 0.668 Cl
0.682 0.332 0.950 Cl
0.744 0.439 0.439 Cl
0.256 0.561 0.561 Cl

=====

Y2InCl | Alexandria | PBE | optimized geometry; E = -21.05 eV/cell; energy relative to the elements, uncorrected = -0.884 eV per atom; symmetry = Pmmm (47); size of the total moment = 0.000 μB per formula unit; E above lowest polymorph = 56 meV per atom
1.0
-0.544 3.512 0.431
-1.816 0.113 -3.216
-7.052 -1.575 3.923
Cl In Y
1 1 2
direct
0.500 0.250 0.250 Cl
0.500 0.750 0.750 In
0.000 0.250 0.984 Y
0.000 0.250 0.516 Y

=====

YIn4Cl6 | Alexandria | PBE | optimized geometry; E = -82.57 eV/cell; energy relative to the elements, uncorrected = -1.162 eV per atom; symmetry = P4/mnc (128); size of the total moment = 0.000 μB per formula unit
1.0
-2.936 4.664 -6.311
-6.402 2.474 4.806
5.833 8.362 3.466
Y In Cl
2 8 12
direct
0.500 0.500 0.000 Y
0.000 0.000 0.500 Y
0.348 0.152 0.250 In
0.152 0.652 0.750 In
0.652 0.848 0.750 In
0.848 0.348 0.750 In
0.348 0.152 0.750 In
0.152 0.652 0.250 In
0.848 0.348 0.250 In
0.652 0.848 0.250 In
0.258 0.816 0.500 Cl
0.758 0.684 0.000 Cl
0.684 0.242 0.000 Cl
0.184 0.258 0.500 Cl
0.000 0.000 0.252 Cl
0.500 0.500 0.248 Cl
0.316 0.758 0.000 Cl
0.000 0.000 0.748 Cl
0.242 0.316 0.000 Cl
0.500 0.500 0.752 Cl
0.816 0.742 0.500 Cl
0.742 0.184 0.500 Cl

=====

Y2In2Cl | Alexandria | PBE | optimized geometry; E = -48.45 eV/cell; energy relative to the elements, uncorrected = -0.794 eV per atom; symmetry = P4/mbm (127); size of the total moment = 0.000 μB per formula unit
1.0
7.427 0.000 0.000
0.000 7.427 0.000
0.000 0.000 4.921
Y Cl In
4 2 4
direct
0.335 0.835 0.000 Y
0.835 0.665 0.000 Y
0.665 0.165 0.000 Y
0.165 0.335 0.000 Y
0.000 0.000 0.000 Cl
0.500 0.500 0.000 Cl
0.141 0.641 0.500 In
0.641 0.859 0.500 In
0.859 0.359 0.500 In
0.359 0.141 0.500 In

=====

YIn3Cl | Alexandria | PBE | optimized geometry; E = -16.23 eV/cell; energy relative to the elements, uncorrected = 0.060 eV per atom; symmetry = Pm-3m (221); size of the total moment = 0.000 μB per formula unit; E above lowest polymorph = 0 meV per atom
1.0
5.376 0.000 0.000
0.000 5.376 0.000
0.000 0.000 5.376
Y Cl In
1 1 3
direct
0.500 0.500 0.500 Y
0.000 0.000 0.000 Cl
0.000 0.500 0.000 In
0.000 0.000 0.500 In
0.500 0.000 0.000 In

=====

Number 4 is which compound? Y2InCl